Entry 1:
Density functional theory data (PBE) for a relaxed Er2SnSe4 crystal.

The structure belongs to space group Cmcm (No. 63); the cell edges are 4.071, 13.458 and 14.036 Å and the angles 90.00°, 90.00° and 90.00°. The inequivalent atoms are Er at (0.000, 0.137, 0.065), Sn at (0.000, 0.400, 0.250), Se at (0.000, 0.049, 0.250), Se at (0.000, 0.230, 0.616) and Se at (0.000, 0.500, 0.000).

The theoretical density comes out at 6.643 g/cm³. The excess energy over the best structure of this formula in the dataset comes out at 0.000 eV/atom. Its uncorrected formation energy is -1.43 eV/atom.

Entry 2:
Density functional theory data (PBE) for a relaxed PrYOsO6 crystal.

The structure belongs to space group P-31c (No. 163); the cell edges are 5.5519, 5.5519 and 9.9940 Å and the angles 90.00°, 90.00° and 120.00°. The inequivalent atoms are Pr at (0.0000, 0.0000, 0.0000), Y at (0.3333, 0.6667, 0.2500), Os at (0.3333, 0.6667, 0.7500) and O at (0.0434, 0.3779, 0.6396).

The theoretical density comes out at 6.424 g/cm³. Its uncorrected formation energy is -2.32 eV/atom.